The following is a PBE calculation of a geometry-optimized BaPuSn2Cl8 structure, from Alexandria via LeMat-Bulk.

Space group: P-1
Crystal system: triclinic
N(E_F) in states/eV per cell: 17.20
Formation energy (no corrections) in kJ/mol of formula units: -1791
Volume in Å³/atom: 34.65

Lattice parameters (Å, degrees): 6.8102 6.6591 9.1693 89.56 90.23 89.51
Last column: magnetic moment on the atom in μB.
Atoms (fractional coordinates):
Pu 0.0000 0.0000 0.0000  5.62
Cl 0.6877 0.7229 0.9653  -0.01
Cl 0.3123 0.2771 0.0347  -0.01
Cl 0.8472 0.2385 0.7671  -0.01
Cl 0.1982 0.8021 0.7705  -0.01
Cl 0.8018 0.1979 0.2295  -0.01
Sn 0.5052 0.5014 0.7578  0.06
Ba 0.0000 0.0000 0.5000  0.01
Cl 0.1528 0.7615 0.2329  -0.01
Cl 0.3437 0.2931 0.4662  0.00
Sn 0.4948 0.4986 0.2422  0.06
Cl 0.6563 0.7069 0.5338  0.00